No. 1
{"formula": "Tc2AsOs", "functional": "PBE", "state": "optimized geometry", "cell": [[4.470, 0.000, 0.000], [0.000, 4.470, 0.000], [0.000, 0.000, 2.944]], "species": ["Tc", "Tc", "As", "Os"], "frac_coords": [[0.000, 0.500, 0.000], [0.500, 0.000, 0.000], [0.000, 0.000, 0.500], [0.500, 0.500, 0.500]], "delta_e_f_kj_per_mol_fu": 92, "dft_energy_ev_per_atom": -8.91}

No. 2
{"formula": "SnBI", "functional": "PBE", "state": "optimized geometry", "cell": [[11.377, 0.000, 0.000], [0.000, 4.044, 0.000], [-1.702, 0.000, 7.173]], "species": ["Sn", "Sn", "Sn", "Sn", "B", "B", "B", "B", "I", "I", "I", "I"], "frac_coords": [[0.124, 0.025, 0.196], [0.124, 0.475, 0.696], [0.876, 0.525, 0.304], [0.876, 0.975, 0.804], [0.049, 0.101, 0.460], [0.049, 0.399, 0.960], [0.951, 0.601, 0.040], [0.951, 0.899, 0.540], [0.327, 0.580, 0.295], [0.327, 0.920, 0.795], [0.673, 0.080, 0.205], [0.673, 0.420, 0.705]], "dft_energy_ev_per_atom": -3.81, "raw_formation_energy_ev_per_fu": 0.8}

No. 3
{"formula": "NaTi2CoRh", "functional": "PBE", "state": "optimized geometry", "cell": [[4.700, 0.000, 0.000], [0.000, 4.700, 0.000], [0.000, 0.000, 4.793]], "species": ["Na", "Ti", "Ti", "Co", "Rh"], "frac_coords": [[0.000, 0.000, 0.000], [0.000, 0.500, 0.500], [0.500, 0.000, 0.500], [0.500, 0.500, 0.000], [0.500, 0.500, 0.500]], "delta_e_f_kj_per_mol_fu": 285, "dft_energy_ev_per_atom": -5.72}

No. 4
{"formula": "PaTlCd4", "functional": "PBE", "state": "optimized geometry", "cell": [[0.000, 4.222, 4.222], [4.222, 0.000, 4.222], [4.222, 4.222, 0.000]], "species": ["Pa", "Tl", "Cd", "Cd", "Cd", "Cd"], "frac_coords": [[0.000, 0.000, 0.000], [0.250, 0.250, 0.250], [0.124, 0.625, 0.625], [0.625, 0.124, 0.625], [0.625, 0.625, 0.124], [0.625, 0.625, 0.625]], "delta_e_f_kj_per_mol_fu": 131, "dft_energy_ev_per_atom": -2.36}